! Tb2ZnB2Rh5 (GGA-PBE, optimized geometry); values from VASP
! - Total magnetic moment: 0.00 μB per formula unit
! - Fermi-level density of states: 4.11 states/eV/f.u.
! - E_tot: -0.5006 Ry per atom
! - SG: P4/mbm
! - ΔH_f (0 K): -0.746 eV per atom
&SYSTEM
  ibrav = 0, nat = 20, ntyp = 4
/
ATOMIC_SPECIES
Tb 158.93 Tb.upf
Zn 65.41 Zn.upf
B 10.81 B.upf
Rh 102.91 Rh.upf
CELL_PARAMETERS angstrom
9.5336 0.0000 0.0000
0.0000 9.5336 0.0000
0.0000 0.0000 3.1900
ATOMIC_POSITIONS crystal
Tb 0.1760 0.3240 0.0000
Tb 0.3240 0.8240 0.0000
Tb 0.6760 0.1760 0.0000
Tb 0.8240 0.6760 0.0000
Zn 0.0000 0.0000 0.0000
Zn 0.5000 0.5000 0.0000
B 0.1236 0.6236 0.0000
B 0.3764 0.1236 0.0000
B 0.6236 0.8764 0.0000
B 0.8764 0.3764 0.0000
Rh 0.0000 0.5000 0.5000
Rh 0.0694 0.7795 0.5000
Rh 0.2205 0.0694 0.5000
Rh 0.2795 0.5694 0.5000
Rh 0.4306 0.2795 0.5000
Rh 0.5000 0.0000 0.5000
Rh 0.5694 0.7205 0.5000
Rh 0.7205 0.4306 0.5000
Rh 0.7795 0.9306 0.5000
Rh 0.9306 0.2205 0.5000